1.
Dy5Si3B | PBE | optimized geometry

Lattice parameters (Å, degrees): 8.547 8.547 6.345 90.00 90.00 120.00
Positions (direct):
Dy1 0.000 0.240 0.250
Dy2 0.000 0.760 0.750
Dy3 0.240 0.000 0.250
Dy4 0.240 0.240 0.750
Dy5 0.333 0.667 0.000
Dy6 0.333 0.667 0.500
Dy7 0.667 0.333 0.000
Dy8 0.667 0.333 0.500
Dy9 0.760 0.000 0.750
Dy10 0.760 0.760 0.250
Si1 0.000 0.399 0.750
Si2 0.000 0.601 0.250
Si3 0.399 0.000 0.750
Si4 0.399 0.399 0.250
Si5 0.601 0.000 0.250
Si6 0.601 0.601 0.750
B1 0.000 0.000 0.000
B2 0.000 0.000 0.500

Summary:
Fermi-level density of states   15.78 states/eV/cell
Formation energy (no corrections)   -532 meV/atom



2.
K2LaCu | PBE | optimized geometry

Lattice parameters (Å, degrees): 10.931 10.931 4.508 101.84 101.84 19.78
Positions (direct):
K1 0.157 0.157 0.156
K2 0.843 0.843 0.844
La1 0.000 0.000 0.500
Cu1 0.500 0.500 0.000

Summary:
Energy of formation from the pure elements   0.20 eV/atom
Fermi-level density of states   2.88 states/eV/cell
Energy above the most stable polymorph in this dataset   38.6 meV/atom



3.
BiPI2O | PBE | optimized geometry

Lattice parameters (Å, degrees): 5.939 5.939 3.596 90.00 90.00 90.00
Positions (direct):
Bi1 0.000 0.000 0.000
P1 0.500 0.500 0.500
I1 0.000 0.500 0.500
I2 0.500 0.000 0.500
O1 0.500 0.500 0.000

Summary:
Fermi-level density of states   3.70 states/eV/cell
Energy above the most stable polymorph in this dataset   0.0 meV/atom
Formation energy (no corrections)   -51 meV/atom



4.
Mg2BC | PBE | optimized geometry

Lattice parameters (Å, degrees): 7.020 7.020 4.731 103.16 103.16 26.22
Positions (direct):
Mg1 0.000 0.000 0.000
Mg2 0.329 0.329 0.651
Mg3 0.549 0.549 0.526
Mg4 0.712 0.712 0.091
B1 0.389 0.389 0.210
B2 0.895 0.895 0.346
C1 0.158 0.158 0.404
C2 0.165 0.165 0.694

Summary:
Energy of formation from the pure elements   0.24 eV/atom
Fermi-level density of states   1.79 states/eV/cell
Energy above the most stable polymorph in this dataset   153.0 meV/atom



5.
Zr6Ni5Os | PBE | optimized geometry

Lattice parameters (Å, degrees): 4.560 6.438 7.258 90.00 108.06 90.00
Positions (direct):
Zr1 0.000 0.248 0.000
Zr2 0.000 0.752 0.000
Zr3 0.331 0.250 0.662
Zr4 0.331 0.750 0.662
Zr5 0.669 0.250 0.338
Zr6 0.669 0.750 0.338
Ni1 0.159 0.500 0.319
Ni2 0.161 0.000 0.320
Ni3 0.500 0.000 0.000
Ni4 0.839 0.000 0.680
Ni5 0.841 0.500 0.681
Os1 0.500 0.500 0.000

Summary:
Energy of formation from the pure elements   -0.38 eV/atom
Fermi-level density of states   14.02 states/eV/cell



6.
Cs3BaCd | PBE | optimized geometry

Lattice parameters (Å, degrees): 7.559 7.559 7.559 90.00 90.00 90.00
Positions (direct):
Cs1 0.000 0.000 0.500
Cs2 0.000 0.500 0.000
Cs3 0.500 0.000 0.000
Ba1 0.500 0.500 0.500
Cd1 0.000 0.000 0.000

Summary:
Energy of formation from the pure elements   0.17 eV/atom
Fermi-level density of states   5.52 states/eV/cell



7.
Na3Pb | PBE | optimized geometry

Lattice parameters (Å, degrees): 6.782 6.782 7.212 90.00 90.00 130.11
Positions (direct):
Na1 0.109 0.891 0.750
Na2 0.362 0.638 0.520
Na3 0.362 0.638 0.980
Na4 0.638 0.362 0.020
Na5 0.638 0.362 0.480
Na6 0.891 0.109 0.250
Pb1 0.151 0.849 0.250
Pb2 0.849 0.151 0.750

Summary:
Energy of formation from the pure elements   -0.07 eV/atom
Fermi-level density of states   4.38 states/eV/cell



8.
AlPtBr | PBE | optimized geometry

Lattice parameters (Å, degrees): 4.435 4.435 4.435 60.00 60.00 60.00
Positions (direct):
Al1 0.000 0.000 0.000
Pt1 0.750 0.750 0.750
Br1 0.250 0.250 0.250

Summary:
Energy above the most stable polymorph in this dataset   798.9 meV/atom
Formation energy (no corrections)   92 meV/atom



9.
Zr2CuSb | PBE | optimized geometry

Lattice parameters (Å, degrees): 5.180 5.180 5.180 130.11 130.11 73.22
Positions (direct):
Zr1 0.250 0.750 0.500
Zr2 0.750 0.250 0.500
Cu1 0.000 0.000 0.000
Sb1 0.500 0.500 0.000

Summary:
Fermi-level density of states   3.48 states/eV/cell
Formation energy (no corrections)   -359 meV/atom



10.
La4ZnIrCl2 | PBE | optimized geometry

Lattice parameters (Å, degrees): 7.440 4.227 7.798 90.00 108.54 90.00
Positions (direct):
La1 0.230 0.000 0.270
La2 0.231 0.500 0.717
La3 0.769 0.500 0.283
La4 0.770 0.000 0.730
Zn1 0.500 0.500 0.500
Ir1 0.000 0.000 0.500
Cl1 0.000 0.500 0.000
Cl2 0.500 0.000 0.000

Summary:
Fermi-level density of states   7.50 states/eV/cell
Formation energy (no corrections)   -1074 meV/atom



11.
Rb2AsI | PBE | optimized geometry

Lattice parameters (Å, degrees): 7.762 7.762 7.762 102.54 102.54 124.46
Positions (direct):
Rb1 0.110 0.125 0.485
Rb2 0.375 0.890 0.015
Rb3 0.640 0.625 0.515
Rb4 0.875 0.360 0.985
As1 0.000 0.000 0.000
As2 0.750 0.250 0.500
I1 0.250 0.750 0.500
I2 0.500 0.500 0.000

Summary:
Fermi-level density of states   10.24 states/eV/cell
Energy above the most stable polymorph in this dataset   93.0 meV/atom
Formation energy (no corrections)   -379 meV/atom



12.
PuHgGeO6 | PBE | optimized geometry

Lattice parameters (Å, degrees): 5.343 5.343 9.930 90.00 90.00 120.00
Positions (direct):
Pu1 0.333 0.667 0.250
Pu2 0.667 0.333 0.750
Hg1 0.000 0.000 0.000
Hg2 0.000 0.000 0.500
Ge1 0.333 0.667 0.750
Ge2 0.667 0.333 0.250
O1 0.021 0.375 0.642
O2 0.021 0.646 0.858
O3 0.354 0.375 0.858
O4 0.354 0.979 0.642
O5 0.375 0.021 0.142
O6 0.375 0.354 0.358
O7 0.625 0.646 0.642
O8 0.625 0.979 0.858
O9 0.646 0.021 0.358
O10 0.646 0.625 0.142
O11 0.979 0.354 0.142
O12 0.979 0.625 0.358

Summary:
Fermi-level density of states   9.58 states/eV/cell
Formation energy (no corrections)   -1564 meV/atom



Number 1: final energy -5.6381 eV per atom, size of the total moment 0.00 μB/cell. Number 2: final energy -2.6043 eV per atom, size of the total moment 0.01 μB/cell. Number 3: final energy -3.5214 eV per atom, size of the total moment 0.00 μB/cell. Number 4: final energy -4.5351 eV per atom, size of the total moment 0.00 μB/cell. Number 5: final energy -7.9960 eV per atom, size of the total moment 0.00 μB/cell. Number 6: final energy -0.9089 eV per atom, size of the total moment 0.00 μB/cell. Number 7: final energy -1.9855 eV per atom, size of the total moment 0.00 μB/cell. Number 8: final energy -3.7264 eV per atom, size of the total moment 0.00 μB/cell. Number 9: final energy -6.6880 eV per atom, size of the total moment 0.00 μB/cell. Number 10: final energy -5.2666 eV per atom, size of the total moment 0.00 μB/cell. Number 11: final energy -2.4131 eV per atom, size of the total moment 1.25 μB/cell. Number 12: final energy -7.0087 eV per atom, size of the total moment 4.00 μB/cell.